1.
Below is an optimized crystal structure of Zn2TeBr, with properties calculated at the PBE-GGA level.

## Properties
electronic total energy: -24.03 eV per cell
V: 313 Å³/cell
energy relative to the elements, uncorrected: -162 meV/atom
D(E_F): 9.98 states/eV/cell
magnetization: 0.000 μB per cell
distance to the lowest polymorph of the same formula: 112 meV per atom

Lattice parameters (Å, degrees): 3.5347 3.5347 28.8858 90.00 90.00 120.00
Last column: nearest neighbours and their distance in Å.
Positions (direct):
1 Zn 0.0000 0.0000 0.0000  3 Zn 2.73, 3 Te 2.89
2 Zn 0.0000 0.0000 0.2706  3 Br 2.60, 3 Zn 2.73
3 Zn 0.3333 0.6667 0.6667  3 Zn 2.73, 3 Te 2.89
4 Zn 0.3333 0.6667 0.9373  3 Br 2.60, 3 Zn 2.73
5 Zn 0.6667 0.3333 0.3333  3 Zn 2.73, 3 Te 2.89
6 Zn 0.6667 0.3333 0.6039  3 Br 2.60, 3 Zn 2.73
7 Te 0.0000 0.0000 0.7375  3 Zn 2.89
8 Te 0.3333 0.6667 0.4042  3 Zn 2.89
9 Te 0.6667 0.3333 0.0708  3 Zn 2.89
10 Br 0.0000 0.0000 0.5481  3 Zn 2.60
11 Br 0.3333 0.6667 0.2147  3 Zn 2.60
12 Br 0.6667 0.3333 0.8814  3 Zn 2.60

---

2.
Below is an optimized crystal structure of PmY5In6, with properties calculated at the PBE-GGA level.

## Properties
electronic total energy: -59.49 eV per cell
V: 323 Å³/cell
D(E_F): 5.49 states/eV/cell
magnetization: 0.000 μB per cell

Lattice parameters (Å, degrees): 9.2641 9.2641 9.2641 146.46 132.01 59.82
Last column: nearest neighbours and their distance in Å.
Positions (direct):
1 Pm 0.0000 0.0000 0.0000  8 In 3.30-3.31
2 Y 0.1643 0.6643 0.5000  8 In 3.26-3.29
3 Y 0.3326 0.3326 0.0000  8 In 3.25-3.26
4 Y 0.5000 0.0000 0.5000  8 In 3.24-3.28
5 Y 0.6674 0.6674 0.0000  8 In 3.25-3.26
6 Y 0.8357 0.3357 0.5000  8 In 3.26-3.29
7 In 0.0848 0.8314 0.2534  7 Y 3.25-3.29, 1 Pm 3.31
8 In 0.2570 0.5000 0.7570  6 Y 3.24-3.27, 2 Pm 3.30
9 In 0.4220 0.1686 0.2534  7 Y 3.25-3.29, 1 Pm 3.31
10 In 0.5780 0.8314 0.7466  7 Y 3.25-3.29, 1 Pm 3.31
11 In 0.7430 0.5000 0.2430  6 Y 3.24-3.27, 2 Pm 3.30
12 In 0.9152 0.1686 0.7466  7 Y 3.25-3.29, 1 Pm 3.31

---

3.
Below is an optimized crystal structure of K3As4Pt4, with properties calculated at the PBE-GGA level.

## Properties
electronic total energy: -50.98 eV per cell
V: 261 Å³/cell
D(E_F): 3.40 states/eV/cell
magnetization: 0.000 μB per cell

Lattice parameters (Å, degrees): 4.2291 5.1995 12.2100 99.77 99.78 90.04
Last column: nearest neighbours and their distance in Å.
Positions (direct):
1 K 0.0000 0.0000 0.0000  8 As 3.46-3.68, 4 Pt 3.55-3.59
2 K 0.3582 0.8707 0.7171  7 Pt 3.24-3.56, 4 As 3.31-3.49
3 K 0.6418 0.1293 0.2829  7 Pt 3.24-3.56, 4 As 3.31-3.49
4 As 0.2080 0.6220 0.4155  4 Pt 2.47-2.71
5 As 0.4466 0.4307 0.8952  2 Pt 2.44, 1 As 2.50
6 As 0.5534 0.5693 0.1048  2 Pt 2.44, 1 As 2.50
7 As 0.7920 0.3780 0.5845  4 Pt 2.47-2.71
8 Pt 0.1032 0.5767 0.2063  3 As 2.44-2.49
9 Pt 0.2530 0.1791 0.5052  3 As 2.47-2.71
10 Pt 0.7470 0.8209 0.4948  3 As 2.47-2.71
11 Pt 0.8968 0.4233 0.7937  3 As 2.44-2.49

---

4.
Below is an optimized crystal structure of CuBiAu3, with properties calculated at the PBE-GGA level.

## Properties
electronic total energy: -16.11 eV per cell
V: 112 Å³/cell
D(E_F): 2.48 states/eV/cell
magnetization: 0.000 μB per cell
distance to the lowest polymorph of the same formula: 269 meV per atom

Lattice parameters (Å, degrees): 4.8177 4.8177 4.8177 90.00 90.00 90.00
Last column: nearest neighbours and their distance in Å.
Positions (direct):
1 Cu 0.0000 0.0000 0.0000  6 Au 2.41
2 Bi 0.5000 0.5000 0.5000  12 Au 3.41
3 Au 0.0000 0.0000 0.5000  2 Cu 2.41
4 Au 0.0000 0.5000 0.0000  2 Cu 2.41
5 Au 0.5000 0.0000 0.0000  2 Cu 2.41

---

5.
Below is an optimized crystal structure of KAgSe, with properties calculated at the PBE-GGA level.

## Properties
electronic total energy: -17.18 eV per cell
V: 174 Å³/cell
energy relative to the elements, uncorrected: -385 meV/atom
D(E_F): 1.58 states/eV/cell
magnetization: 0.000 μB per cell

Lattice parameters (Å, degrees): 3.9368 3.9368 11.2563 90.00 90.00 90.00
Last column: nearest neighbours and their distance in Å.
Positions (direct):
1 K 0.0000 0.0000 0.0000  1 Ag 3.02, 1 Se 3.17
2 K 0.5000 0.5000 0.5000  1 Ag 3.02, 1 Se 3.17
3 Ag 0.0000 0.0000 0.2685  4 Se 2.84, 1 K 3.02
4 Ag 0.5000 0.5000 0.7685  4 Se 2.84, 1 K 3.02
5 Se 0.0000 0.0000 0.7187  4 Ag 2.84, 1 K 3.17
6 Se 0.5000 0.5000 0.2187  4 Ag 2.84, 1 K 3.17

---

6.
Below is an optimized crystal structure of Sm10Ho6Tm, with properties calculated at the PBE-GGA level.

## Properties
electronic total energy: -77.00 eV per cell
V: 563 Å³/cell
D(E_F): 22.91 states/eV/cell
magnetization: 0.000 μB per cell

Lattice parameters (Å, degrees): 9.7365 9.7365 6.8515 90.00 90.00 120.00
Last column: nearest neighbours and their distance in Å.
Positions (direct):
1 Sm 0.0000 0.2737 0.3141  5 Ho 3.36-3.61, 1 Tm 3.43, 2 Sm 3.69
2 Sm 0.0000 0.7263 0.6859  5 Ho 3.36-3.61, 1 Tm 3.43, 2 Sm 3.69
3 Sm 0.2737 0.0000 0.3141  5 Ho 3.36-3.61, 1 Tm 3.43, 2 Sm 3.69
4 Sm 0.2737 0.2737 0.6859  5 Ho 3.36-3.61, 1 Tm 3.43, 2 Sm 3.69
5 Sm 0.3333 0.6667 0.0000  6 Ho 3.35, 2 Sm 3.43
6 Sm 0.3333 0.6667 0.5000  8 Sm 3.43-3.79, 6 Ho 3.72
7 Sm 0.6667 0.3333 0.0000  6 Ho 3.35, 2 Sm 3.43
8 Sm 0.6667 0.3333 0.5000  8 Sm 3.43-3.79, 6 Ho 3.72
9 Sm 0.7263 0.0000 0.6859  5 Ho 3.36-3.61, 1 Tm 3.43, 2 Sm 3.69
10 Sm 0.7263 0.7263 0.3141  5 Ho 3.36-3.61, 1 Tm 3.43, 2 Sm 3.69
11 Ho 0.0000 0.3729 0.8058  9 Sm 3.35-3.72, 1 Ho 3.63
12 Ho 0.0000 0.6271 0.1942  9 Sm 3.35-3.72, 1 Ho 3.63
13 Ho 0.3729 0.0000 0.8058  9 Sm 3.35-3.72, 1 Ho 3.63
14 Ho 0.3729 0.3729 0.1942  9 Sm 3.35-3.72, 1 Ho 3.63
15 Ho 0.6271 0.0000 0.1942  9 Sm 3.35-3.72, 1 Ho 3.63
16 Ho 0.6271 0.6271 0.8058  9 Sm 3.35-3.72, 1 Ho 3.63
17 Tm 0.0000 0.0000 0.0000  6 Sm 3.43

---

7.
Below is an optimized crystal structure of KRbTlPd, with properties calculated at the PBE-GGA level.

## Properties
electronic total energy: -20.12 eV per cell
V: 353 Å³/cell
D(E_F): 4.34 states/eV/cell
magnetization: 0.000 μB per cell

Lattice parameters (Å, degrees): 8.2695 4.7807 9.3426 90.00 107.30 90.00
Last column: nearest neighbours and their distance in Å.
Positions (direct):
1 K 0.0000 0.0000 0.0000  3 Tl 3.58, 3 Pd 3.58-3.59
2 K 0.5000 0.5000 0.0000  3 Tl 3.58, 3 Pd 3.58-3.59
3 Rb 0.1807 0.0000 0.5370  3 Pd 3.72, 3 Tl 3.73
4 Rb 0.6807 0.5000 0.5370  3 Pd 3.72, 3 Tl 3.73
5 Tl 0.4195 0.0000 0.2556  3 Pd 2.76
6 Tl 0.9195 0.5000 0.2556  3 Pd 2.76
7 Pd 0.2534 0.5000 0.2570  3 Tl 2.76
8 Pd 0.7534 0.0000 0.2570  3 Tl 2.76

---

8.
Below is an optimized crystal structure of Sn3P4, with properties calculated at the PBE-GGA level.

## Properties
electronic total energy: -66.44 eV per cell
V: 349 Å³/cell
D(E_F): 4.21 states/eV/cell
magnetization: 0.000 μB per cell

Lattice parameters (Å, degrees): 7.1822 4.1484 11.9597 90.00 101.53 90.00
Last column: nearest neighbours and their distance in Å.
Positions (direct):
1 Sn 0.0000 0.0000 0.0000  6 P 2.72
2 Sn 0.1322 0.0000 0.3986  3 P 2.68
3 Sn 0.3678 0.5000 0.6014  3 P 2.68
4 Sn 0.5000 0.5000 0.0000  6 P 2.72
5 Sn 0.6322 0.5000 0.3986  3 P 2.68
6 Sn 0.8678 0.0000 0.6014  3 P 2.68
7 P 0.0686 0.5000 0.7044  1 P 2.17
8 P 0.1296 0.5000 0.8893  1 P 2.17
9 P 0.3704 0.0000 0.1107  1 P 2.17
10 P 0.4314 0.0000 0.2956  1 P 2.17
11 P 0.5686 0.0000 0.7044  1 P 2.17
12 P 0.6296 0.0000 0.8893  1 P 2.17
13 P 0.8704 0.5000 0.1107  1 P 2.17
14 P 0.9314 0.5000 0.2956  1 P 2.17

---

9.
Below is an optimized crystal structure of Tl3TcBr2Cl6, with properties calculated at the PBE-GGA level.

## Properties
electronic total energy: -40.95 eV per cell
V: 400 Å³/cell
energy relative to the elements, uncorrected: -755 meV/atom
D(E_F): 5.86 states/eV/cell
magnetization: 2.132 μB per cell

Lattice parameters (Å, degrees): 8.8289 8.8289 6.1402 90.40 90.40 56.60
Last column: nearest neighbours and their distance in Å.
Positions (direct):
1 Tl 0.0000 0.0000 0.0000  2 Br 2.98, 4 Cl 3.22
2 Tl 0.0000 0.5000 0.5000  2 Br 3.16, 4 Cl 3.18-3.21
3 Tl 0.5000 0.0000 0.5000  2 Br 3.16, 4 Cl 3.18-3.21
4 Tc 0.5000 0.5000 0.5000  6 Cl 2.36-2.37
5 Br 0.1806 0.1806 0.8423  3 Tl 2.98-3.16
6 Br 0.8194 0.8194 0.1577  3 Tl 2.98-3.16
7 Cl 0.2344 0.6349 0.7163  1 Tc 2.37
8 Cl 0.3651 0.7656 0.2837  1 Tc 2.37
9 Cl 0.3772 0.3772 0.2707  1 Tc 2.36
10 Cl 0.6228 0.6228 0.7293  1 Tc 2.36
11 Cl 0.6349 0.2344 0.7163  1 Tc 2.37
12 Cl 0.7656 0.3651 0.2837  1 Tc 2.37

---

10.
Below is an optimized crystal structure of NdBi2Pd8, with properties calculated at the PBE-GGA level.

## Properties
electronic total energy: -57.69 eV per cell
V: 212 Å³/cell
D(E_F): 5.36 states/eV/cell
magnetization: 0.000 μB per cell

Lattice parameters (Å, degrees): 8.2154 8.2154 5.0918 108.03 108.03 124.45
Last column: nearest neighbours and their distance in Å.
Positions (direct):
1 Nd 0.0000 0.0000 0.0000  6 Pd 2.85-3.19
2 Bi 0.3158 0.6842 0.5000  12 Pd 2.87-3.09
3 Bi 0.6842 0.3158 0.5000  12 Pd 2.87-3.09
4 Pd 0.1034 0.3701 0.7459  6 Pd 2.71-3.01, 2 Bi 2.98-3.01
5 Pd 0.1960 0.8040 0.0000  1 Nd 2.85, 4 Bi 2.87-3.09, 6 Pd 2.90-3.06
6 Pd 0.3701 0.1034 0.7459  6 Pd 2.71-3.01, 2 Bi 2.98-3.01
7 Pd 0.4891 0.4891 0.7395  6 Pd 2.55-2.78
8 Pd 0.5109 0.5109 0.2605  6 Pd 2.55-2.78
9 Pd 0.6299 0.8966 0.2541  6 Pd 2.71-3.01, 2 Bi 2.98-3.01
10 Pd 0.8040 0.1960 0.0000  1 Nd 2.85, 4 Bi 2.87-3.09, 6 Pd 2.90-3.06
11 Pd 0.8966 0.6299 0.2541  6 Pd 2.71-3.01, 2 Bi 2.98-3.01

---

11.
Below is an optimized crystal structure of YAs2Pd, with properties calculated at the PBE-GGA level.

## Properties
electronic total energy: -93.08 eV per cell
V: 361 Å³/cell
D(E_F): 10.89 states/eV/cell
magnetization: 0.000 μB per cell

Lattice parameters (Å, degrees): 4.5797 4.5797 17.2059 90.00 90.00 90.00
Last column: nearest neighbours and their distance in Å.
Positions (direct):
1 Y 0.0000 0.0000 0.0000  4 As 2.89, 4 Pd 3.24
2 Y 0.0000 0.5000 0.2500  4 As 2.89, 4 Pd 3.24
3 Y 0.5000 0.0000 0.7500  4 As 2.89, 4 Pd 3.24
4 Y 0.5000 0.5000 0.5000  4 As 2.89, 4 Pd 3.24
5 As 0.1601 0.2500 0.6250  2 Pd 2.54, 2 As 2.72
6 As 0.2500 0.6601 0.8750  2 Pd 2.54, 2 As 2.72
7 As 0.2500 0.8399 0.3750  2 Pd 2.54, 2 As 2.72
8 As 0.3399 0.2500 0.1250  2 Pd 2.54, 2 As 2.72
9 As 0.6601 0.7500 0.1250  2 Pd 2.54, 2 As 2.72
10 As 0.7500 0.1601 0.3750  2 Pd 2.54, 2 As 2.72
11 As 0.7500 0.3399 0.8750  2 Pd 2.54, 2 As 2.72
12 As 0.8399 0.7500 0.6250  2 Pd 2.54, 2 As 2.72
13 Pd 0.0000 0.0000 0.5000  4 As 2.54
14 Pd 0.0000 0.5000 0.7500  4 As 2.54
15 Pd 0.5000 0.0000 0.2500  4 As 2.54
16 Pd 0.5000 0.5000 0.0000  4 As 2.54

---

12.
Below is an optimized crystal structure of Li3Al2In2Au4, with properties calculated at the PBE-GGA level.

## Properties
electronic total energy: -36.57 eV per cell
V: 202 Å³/cell
D(E_F): 1.83 states/eV/cell
magnetization: 0.000 μB per cell

Lattice parameters (Å, degrees): 4.6422 4.6422 10.8159 90.00 90.00 120.00
Last column: nearest neighbours and their distance in Å.
Positions (direct):
1 Li 0.0000 0.0000 0.0000  6 In 2.86, 2 Li 3.01
2 Li 0.0000 0.0000 0.2782  6 Au 2.81-2.90, 1 Li 3.01, 3 Al 3.06
3 Li 0.0000 0.0000 0.7218  6 Au 2.81-2.90, 1 Li 3.01, 3 Al 3.06
4 Al 0.3333 0.6667 0.5847  5 Au 2.48-2.76
5 Al 0.6667 0.3333 0.4153  5 Au 2.48-2.76
6 In 0.3333 0.6667 0.0932  5 Au 2.82-2.91, 3 Li 2.86
7 In 0.6667 0.3333 0.9068  5 Au 2.82-2.91, 3 Li 2.86
8 Au 0.3333 0.6667 0.3553  4 Al 2.48-2.76
9 Au 0.3333 0.6667 0.8243  1 Al 2.59, 3 In 2.82, 3 Li 2.90
10 Au 0.6667 0.3333 0.1757  1 Al 2.59, 3 In 2.82, 3 Li 2.90
11 Au 0.6667 0.3333 0.6447  4 Al 2.48-2.76

---

no.,mass density (g/cm³)
1,5.4
2,6.6
3,7.6
4,12.8
5,4.3
6,7.9
7,4.1
8,4.6
9,4.5
10,11.1
11,6.4
12,9.0